Entry 1:
# VCo3Ru

Crystalline VCo3Ru at its relaxed geometry (PBE, Alexandria).

Cell: 4.145 4.145 4.145 Å, 90.00 90.00 90.00°
Element x y z (fractional)
V 0.000 0.000 0.000
Co 0.000 0.000 0.500
Co 0.000 0.500 0.000
Co 0.500 0.000 0.000
Ru 0.500 0.500 0.500

Computed properties:
The offset from the most stable computed form comes out at 0.848 eV per atom. The total magnetic moment is 0.71 μB/atom. Its energy relative to the elements is 1213 meV/atom. The total energy comes out at -6.73 eV/atom. The density of states at the Fermi level comes out at 1.44 states/eV per atom.

***

Entry 2:
# V6CoRu5

Crystalline V6CoRu5 at its relaxed geometry (PBE, Alexandria).

Cell: 7.365 7.365 7.365 Å, 146.57 132.28 59.51°
Element x y z (fractional)
V 0.083 0.338 0.745
V 0.240 0.000 0.240
V 0.407 0.662 0.745
V 0.593 0.338 0.255
V 0.760 0.000 0.760
V 0.917 0.662 0.255
Co 0.000 0.500 0.500
Ru 0.171 0.171 0.000
Ru 0.333 0.833 0.500
Ru 0.500 0.500 0.000
Ru 0.667 0.167 0.500
Ru 0.829 0.829 0.000

Computed properties:
The total magnetic moment is 0.42 μB/atom. Its energy relative to the elements is -215 meV/atom. The total energy comes out at -9.23 eV/atom. The density of states at the Fermi level comes out at 1.08 states/eV per atom.

***

Entry 3:
# VCo2Ru

Crystalline VCo2Ru at its relaxed geometry (PBE, Alexandria).

Cell: 3.488 3.488 17.210 Å, 90.00 90.00 90.00°
Element x y z (fractional)
V 0.000 0.000 0.000
V 0.000 0.500 0.250
V 0.500 0.000 0.750
V 0.500 0.500 0.500
Co 0.242 0.250 0.125
Co 0.250 0.742 0.375
Co 0.250 0.758 0.875
Co 0.258 0.250 0.625
Co 0.742 0.750 0.625
Co 0.750 0.242 0.875
Co 0.750 0.258 0.375
Co 0.758 0.750 0.125
Ru 0.000 0.000 0.500
Ru 0.000 0.500 0.750
Ru 0.500 0.000 0.250
Ru 0.500 0.500 0.000

Computed properties:
The total magnetic moment is 0.43 μB/atom. Its energy relative to the elements is 415 meV/atom. The total energy comes out at -7.74 eV/atom. The density of states at the Fermi level comes out at 1.62 states/eV per atom.

***

Entry 4:
# V3Co2Ru2

Crystalline V3Co2Ru2 at its relaxed geometry (PBE, Alexandria).

Cell: 6.928 6.928 6.928 Å, 34.49 34.49 34.49°
Element x y z (fractional)
V 0.000 0.000 0.000
V 0.241 0.241 0.241
V 0.759 0.759 0.759
Co 0.126 0.126 0.126
Co 0.874 0.874 0.874
Ru 0.379 0.379 0.379
Ru 0.621 0.621 0.621

Computed properties:
The total magnetic moment is 0.00 μB/atom. Its energy relative to the elements is 51 meV/atom. The total energy comes out at -8.54 eV/atom. The density of states at the Fermi level comes out at 0.84 states/eV per atom.

***

Entry 5:
# VCoRu

Crystalline VCoRu at its relaxed geometry (PBE, Alexandria).

Cell: 4.136 4.136 2.617 Å, 90.00 90.00 120.00°
Element x y z (fractional)
V 0.000 0.000 0.000
Co 0.333 0.667 0.500
Ru 0.667 0.333 0.500

Computed properties:
The offset from the most stable computed form comes out at 0.088 eV per atom. The total magnetic moment is 0.21 μB/atom. Its energy relative to the elements is 90 meV/atom. The total energy comes out at -8.41 eV/atom. The density of states at the Fermi level comes out at 1.51 states/eV per atom.

***

Entry 6:
# V3Co2Ru

Crystalline V3Co2Ru at its relaxed geometry (PBE, Alexandria).

Cell: 2.655 2.655 10.585 Å, 90.00 90.00 90.00°
Element x y z (fractional)
V 0.000 0.000 0.000
V 0.000 0.000 0.319
V 0.000 0.000 0.681
Co 0.500 0.500 0.162
Co 0.500 0.500 0.838
Ru 0.500 0.500 0.500

Computed properties:
The offset from the most stable computed form comes out at 0.024 eV per atom. The total magnetic moment is 0.00 μB/atom. Its energy relative to the elements is -112 meV/atom. The total energy comes out at -8.59 eV/atom. The density of states at the Fermi level comes out at 1.08 states/eV per atom.

***

Entry 7:
# VCoRu

Crystalline VCoRu at its relaxed geometry (PBE, Alexandria).

Cell: 2.724 2.724 12.293 Å, 90.00 90.00 90.00°
Element x y z (fractional)
V 0.000 0.000 0.000
V 0.500 0.500 0.500
Co 0.000 0.000 0.173
Co 0.500 0.500 0.673
Ru 0.000 0.000 0.375
Ru 0.500 0.500 0.875

Computed properties:
The offset from the most stable computed form comes out at 0.670 eV per atom. The total magnetic moment is 0.32 μB/atom. Its energy relative to the elements is 673 meV/atom. The total energy comes out at -7.83 eV/atom. The density of states at the Fermi level comes out at 1.23 states/eV per atom.

***

Entry 8:
# VCoRu

Crystalline VCoRu at its relaxed geometry (PBE, Alexandria).

Cell: 8.303 2.676 6.972 Å, 90.00 98.08 90.00°
Element x y z (fractional)
V 0.106 0.000 0.211
V 0.394 0.500 0.789
V 0.606 0.500 0.211
V 0.894 0.000 0.789
Co 0.132 0.500 0.913
Co 0.368 0.000 0.087
Co 0.632 0.000 0.913
Co 0.868 0.500 0.087
Ru 0.148 0.000 0.597
Ru 0.352 0.500 0.403
Ru 0.648 0.500 0.597
Ru 0.852 0.000 0.403

Computed properties:
The offset from the most stable computed form comes out at 0.000 eV per atom. The total magnetic moment is 0.00 μB/atom. Its energy relative to the elements is 3 meV/atom. The total energy comes out at -8.50 eV/atom. The density of states at the Fermi level comes out at 1.28 states/eV per atom.

***

Entry 9:
# VCo2Ru

Crystalline VCo2Ru at its relaxed geometry (PBE, Alexandria).

Cell: 2.591 3.612 5.104 Å, 90.00 90.12 90.00°
Element x y z (fractional)
V 0.000 0.000 0.000
Co 0.499 0.500 0.251
Co 0.501 0.500 0.749
Ru 0.000 0.000 0.500

Computed properties:
The total magnetic moment is 0.00 μB/atom. Its energy relative to the elements is -52 meV/atom. The total energy comes out at -8.20 eV/atom. The density of states at the Fermi level comes out at 1.10 states/eV per atom.

***

Entry 10:
# VCoRu

Crystalline VCoRu at its relaxed geometry (PBE, Alexandria).

Cell: 4.130 2.565 4.317 Å, 90.00 106.84 90.00°
Element x y z (fractional)
V 0.000 0.000 0.000
Co 0.500 0.500 0.000
Ru 0.500 0.000 0.500

Computed properties:
The offset from the most stable computed form comes out at 0.538 eV per atom. The total magnetic moment is 0.00 μB/atom. Its energy relative to the elements is 540 meV/atom. The total energy comes out at -7.96 eV/atom. The density of states at the Fermi level comes out at 1.45 states/eV per atom.

***

Entry 11:
# V5CoRu4

Crystalline V5CoRu4 at its relaxed geometry (PBE, Alexandria).

Cell: 3.009 3.009 14.724 Å, 90.00 90.00 90.00°
Element x y z (fractional)
V 0.000 0.000 0.000
V 0.000 0.000 0.206
V 0.000 0.000 0.411
V 0.000 0.000 0.589
V 0.000 0.000 0.794
Co 0.500 0.500 0.500
Ru 0.500 0.500 0.102
Ru 0.500 0.500 0.308
Ru 0.500 0.500 0.692
Ru 0.500 0.500 0.898

Computed properties:
The total magnetic moment is 0.09 μB/atom. Its energy relative to the elements is -207 meV/atom. The total energy comes out at -9.19 eV/atom. The density of states at the Fermi level comes out at 1.26 states/eV per atom.

***

Entry 12:
# VCoRu2

Crystalline VCoRu2 at its relaxed geometry (PBE, Alexandria).

Cell: 3.756 3.756 3.646 Å, 90.00 90.00 90.00°
Element x y z (fractional)
V 0.000 0.000 0.000
Co 0.500 0.500 0.000
Ru 0.000 0.500 0.500
Ru 0.500 0.000 0.500

Computed properties:
The total magnetic moment is 0.00 μB/atom. Its energy relative to the elements is -115 meV/atom. The total energy comes out at -8.81 eV/atom. The density of states at the Fermi level comes out at 1.39 states/eV per atom.

***

Entry 13:
# V6Co12Ru

Crystalline V6Co12Ru at its relaxed geometry (PBE, Alexandria).

Cell: 6.696 6.696 6.696 Å, 108.58 108.58 108.58°
Element x y z (fractional)
V 0.237 0.696 0.696
V 0.304 0.304 0.763
V 0.304 0.763 0.304
V 0.696 0.237 0.696
V 0.696 0.696 0.237
V 0.763 0.304 0.304
Co 0.110 0.500 0.890
Co 0.110 0.890 0.500
Co 0.170 0.387 0.387
Co 0.387 0.170 0.387
Co 0.387 0.387 0.170
Co 0.500 0.110 0.890
Co 0.500 0.890 0.110
Co 0.613 0.613 0.830
Co 0.613 0.830 0.613
Co 0.830 0.613 0.613
Co 0.890 0.110 0.500
Co 0.890 0.500 0.110
Ru 0.000 0.000 0.000

Computed properties:
The total magnetic moment is 0.19 μB/atom. Its energy relative to the elements is 288 meV/atom. The total energy comes out at -7.57 eV/atom. The density of states at the Fermi level comes out at 1.05 states/eV per atom.

***

Entry 14:
# VCo2Ru2

Crystalline VCo2Ru2 at its relaxed geometry (PBE, Alexandria).

Cell: 6.927 6.927 2.666 Å, 90.00 90.00 90.00°
Element x y z (fractional)
V 0.000 0.000 0.000
V 0.500 0.500 0.000
Co 0.119 0.381 0.000
Co 0.381 0.881 0.000
Co 0.619 0.119 0.000
Co 0.881 0.619 0.000
Ru 0.177 0.677 0.500
Ru 0.323 0.177 0.500
Ru 0.677 0.823 0.500
Ru 0.823 0.323 0.500

Computed properties:
The offset from the most stable computed form comes out at 0.000 eV per atom. The total magnetic moment is 0.00 μB/atom. Its energy relative to the elements is 150 meV/atom. The total energy comes out at -8.23 eV/atom. The density of states at the Fermi level comes out at 1.50 states/eV per atom.

***

Entry 15:
# VCoRu2

Crystalline VCoRu2 at its relaxed geometry (PBE, Alexandria).

Cell: 2.689 2.689 25.262 Å, 90.00 90.00 120.00°
Element x y z (fractional)
V 0.000 0.000 0.000
V 0.333 0.667 0.667
V 0.667 0.333 0.333
Co 0.000 0.000 0.835
Co 0.333 0.667 0.501
Co 0.667 0.333 0.168
Ru 0.000 0.000 0.418
Ru 0.000 0.000 0.582
Ru 0.333 0.667 0.084
Ru 0.333 0.667 0.249
Ru 0.667 0.333 0.751
Ru 0.667 0.333 0.915

Computed properties:
The total magnetic moment is 0.33 μB/atom. Its energy relative to the elements is 52 meV/atom. The total energy comes out at -8.64 eV/atom. The density of states at the Fermi level comes out at 1.11 states/eV per atom.

***

Entry 16:
# V5CoRu6

Crystalline V5CoRu6 at its relaxed geometry (PBE, Alexandria).

Cell: 4.243 5.989 6.692 Å, 90.00 108.03 90.00°
Element x y z (fractional)
V 0.000 0.000 0.000
V 0.331 0.000 0.669
V 0.338 0.500 0.687
V 0.662 0.500 0.313
V 0.669 0.000 0.331
Co 0.000 0.500 0.000
Ru 0.175 0.251 0.343
Ru 0.175 0.749 0.343
Ru 0.500 0.244 0.000
Ru 0.500 0.756 0.000
Ru 0.825 0.251 0.657
Ru 0.825 0.749 0.657

Computed properties:
The total magnetic moment is 0.11 μB/atom. Its energy relative to the elements is -194 meV/atom. The total energy comes out at -9.22 eV/atom. The density of states at the Fermi level comes out at 1.11 states/eV per atom.

***

Entry 17:
# V6CoRu2

Crystalline V6CoRu2 at its relaxed geometry (PBE, Alexandria).

Cell: 7.186 7.186 7.186 Å, 148.93 132.68 57.69°
Element x y z (fractional)
V 0.071 0.838 0.233
V 0.251 0.500 0.751
V 0.395 0.162 0.233
V 0.605 0.838 0.767
V 0.749 0.500 0.249
V 0.929 0.162 0.767
Co 0.000 0.000 0.000
Ru 0.334 0.334 0.000
Ru 0.666 0.666 0.000

Computed properties:
The total magnetic moment is 0.00 μB/atom. Its energy relative to the elements is 351 meV/atom. The total energy comes out at -8.58 eV/atom. The density of states at the Fermi level comes out at 1.25 states/eV per atom.

***

Entry 18:
# V4CoRu3

Crystalline V4CoRu3 at its relaxed geometry (PBE, Alexandria).

Cell: 3.019 3.019 11.635 Å, 90.00 90.00 90.00°
Element x y z (fractional)
V 0.000 0.000 0.112
V 0.000 0.000 0.369
V 0.000 0.000 0.631
V 0.000 0.000 0.888
Co 0.500 0.500 0.000
Ru 0.500 0.500 0.241
Ru 0.500 0.500 0.500
Ru 0.500 0.500 0.759

Computed properties:
The total magnetic moment is 0.17 μB/atom. Its energy relative to the elements is -201 meV/atom. The total energy comes out at -9.13 eV/atom. The density of states at the Fermi level comes out at 1.21 states/eV per atom.

***

Entry 19:
# VCo3Ru

Crystalline VCo3Ru at its relaxed geometry (PBE, Alexandria).

Cell: 4.935 4.935 7.744 Å, 90.00 90.00 133.83°
Element x y z (fractional)
V 0.157 0.843 0.750
V 0.843 0.157 0.250
Co 0.173 0.827 0.250
Co 0.330 0.670 0.507
Co 0.330 0.670 0.993
Co 0.670 0.330 0.007
Co 0.670 0.330 0.493
Co 0.827 0.173 0.750
Ru 0.498 0.502 0.250
Ru 0.502 0.498 0.750

Computed properties:
The offset from the most stable computed form comes out at 0.000 eV per atom. The total magnetic moment is 0.88 μB/atom. Its energy relative to the elements is 365 meV/atom. The total energy comes out at -7.58 eV/atom. The density of states at the Fermi level comes out at 0.95 states/eV per atom.

***

Entry 20:
# V3CoRu

Crystalline V3CoRu at its relaxed geometry (PBE, Alexandria).

Cell: 4.239 4.239 4.239 Å, 90.00 90.00 90.00°
Element x y z (fractional)
V 0.000 0.000 0.500
V 0.000 0.500 0.000
V 0.500 0.000 0.000
Co 0.000 0.000 0.000
Ru 0.500 0.500 0.500

Computed properties:
The offset from the most stable computed form comes out at 0.000 eV per atom. The total magnetic moment is 0.00 μB/atom. Its energy relative to the elements is 814 meV/atom. The total energy comes out at -7.93 eV/atom. The density of states at the Fermi level comes out at 1.71 states/eV per atom.